(i)
A relaxed structure of CaPbBr2, computed with PBEsol.

Size of the total moment, μB per formula unit: 0.00

Cell lengths 3.666, 4.900, 12.717 Å; angles 90.00, 90.00, 90.00 degrees
Space group Imm2 (No. 44)
Inequivalent atoms, fractional coordinates:
Ca: 0.000 0.000 0.000
Pb: 0.000 0.500 0.743
Br: 0.000 0.000 0.545
Br: 0.000 0.500 0.323

(ii)
A relaxed structure of CaPbBr2, computed with PBEsol.

Size of the total moment, μB per formula unit: 0.00

Cell lengths 3.465, 3.465, 11.030 Å; angles 90.00, 90.00, 90.00 degrees
Space group P4/mmm (No. 123)
Inequivalent atoms, fractional coordinates:
Ca: 0.000 0.000 0.000
Pb: 0.000 0.000 0.500
Br: 0.500 0.500 0.154

Relative energies, in eV/atom, with the most stable structure set to zero: (i) 0.083; (ii) 0.000.

(i)
A relaxed structure of Ca2PbBr, computed with PBEsol.

Size of the total moment, μB per formula unit: 0.00

Cell lengths 5.667, 5.667, 3.709 Å; angles 90.00, 90.00, 90.00 degrees
Space group P4mm (No. 99)
Inequivalent atoms, fractional coordinates:
Ca: 0.000 0.500 0.000
Pb: 0.000 0.000 0.495
Br: 0.500 0.500 0.957

(ii)
A relaxed structure of Ca2PbBr, computed with PBEsol.

Size of the total moment, μB per formula unit: 0.00

Cell lengths 3.770, 4.076, 8.159 Å; angles 90.00, 90.00, 90.00 degrees
Space group Pmmm (No. 47)
Inequivalent atoms, fractional coordinates:
Ca: 0.000 0.000 0.218
Pb: 0.500 0.500 0.000
Br: 0.500 0.000 0.500

Relative energies, in eV/atom, with the most stable structure set to zero: (i) 0.000; (ii) 0.012.

(i)
A relaxed structure of CaPdBr3, computed with PBEsol.

Size of the total moment, μB per formula unit: 1.06

Cell lengths 5.470, 5.470, 5.470 Å; angles 90.00, 90.00, 90.00 degrees
Space group Pm-3m (No. 221)
Inequivalent atoms, fractional coordinates:
Ca: 0.000 0.000 0.000
Pd: 0.500 0.500 0.500
Br: 0.000 0.000 0.500

(ii)
A relaxed structure of CaPdBr3, computed with PBEsol.

Size of the total moment, μB per formula unit: 0.00

Cell lengths 5.107, 5.107, 5.107 Å; angles 90.00, 90.00, 90.00 degrees
Space group Pm-3m (No. 221)
Inequivalent atoms, fractional coordinates:
Ca: 0.000 0.000 0.000
Pd: 0.500 0.500 0.500
Br: 0.000 0.500 0.500

Relative energies, in eV/atom, with the most stable structure set to zero: (i) 0.376; (ii) 0.000.

(i)
A relaxed structure of CaPtBr2, computed with PBEsol.

Size of the total moment, μB per formula unit: 0.00

Cell lengths 4.247, 5.446, 7.616 Å; angles 90.00, 90.00, 90.00 degrees
Space group Immm (No. 71)
Inequivalent atoms, fractional coordinates:
Ca: 0.000 0.000 0.000
Pt: 0.000 0.000 0.500
Br: 0.000 0.500 0.215

(ii)
A relaxed structure of CaPtBr2, computed with PBEsol.

Size of the total moment, μB per formula unit: 0.00

Cell lengths 14.142, 3.660, 3.933 Å; angles 90.00, 106.05, 90.00 degrees
Space group Cm (No. 8)
Inequivalent atoms, fractional coordinates:
Ca: 0.000 0.000 0.000
Pt: 0.337 0.000 0.838
Br: 0.095 0.500 0.594
Br: 0.335 0.500 0.336

Relative energies, in eV/atom, with the most stable structure set to zero: (i) 0.183; (ii) 0.000.